{
  "formula": "YPaZnIn",
  "functional": "PBE-GGA",
  "state": "relaxed",
  "lattice_angstrom": [[-0.6190, 5.0321, -1.1523], [-4.7385, 1.8614, -1.0558], [-2.3603, 3.1694, 3.3788]],
  "species": ["Y", "Zn", "Pa", "In"],
  "frac_coords": [[0.7500, 0.7500, 0.7500], [0.5000, 0.5000, 0.5000], [0.2500, 0.2500, 0.2500], [0.0000, 0.0000, 0.0000]],
  "dos_at_fermi_per_ev_atom": 1.562,
  "sg": "F-43m",
  "dft_energy_ev_per_atom": -5.043,
  "e_form_ev_per_atom": -0.050,
  "vol_a3_per_fu": 99.39,
  "crystal_system": "cubic"
}